Below is an optimized crystal structure of Ag2Rh3, with properties calculated at the PBE level.

a b c (Å): 2.7890 2.7890 34.5423
angles (deg): 90.00 90.00 120.00
Space group R-3m (No. 166, hexagonal axes)
Symmetry-distinct sites (fractional):
Ag: 0.0000 0.0000 0.2025 [6 per cell]
Rh: 0.0000 0.0000 0.0000 [3 per cell]
Rh: 0.0000 0.0000 0.3952 [6 per cell]

Results
Final energy   -0.3975 Ry per atom
Excess energy over the best structure of this formula in the dataset   0.10 eV/f.u.
ΔE_f   0.7 eV per formula unit

---

Below is an optimized crystal structure of CrCoCu, with properties calculated at the PBE level.

a b c (Å): 2.5042 2.5042 6.2770
angles (deg): 90.00 90.00 120.00
Space group P3m1 (No. 156)
Symmetry-distinct sites (fractional):
Cr: 0.0000 0.0000 0.0000 [1 per cell]
Co: 0.6667 0.3333 0.6946 [1 per cell]
Cu: 0.3333 0.6667 0.3529 [1 per cell]

Results
Final energy   -0.4967 Ry per atom
Excess energy over the best structure of this formula in the dataset   0.01 eV/f.u.
ΔE_f   0.6 eV per formula unit

---

Below is an optimized crystal structure of Mn2ZnNiN, with properties calculated at the PBE level.

a b c (Å): 3.7760 3.7760 3.8676
angles (deg): 90.00 90.00 90.00
Space group P4/mmm (No. 123)
Symmetry-distinct sites (fractional):
Mn: 0.0000 0.5000 0.0000 [2 per cell]
Zn: 0.0000 0.0000 0.5000 [1 per cell]
Ni: 0.5000 0.5000 0.5000 [1 per cell]
N: 0.5000 0.5000 0.0000 [1 per cell]

Results
Final energy   -0.5105 Ry per atom
Raw formation energy   -0.20 eV per atom

---

Below is an optimized crystal structure of Nd2DyAl6, with properties calculated at the PBE level.

a b c (Å): 7.9653 7.9653 3.6379
angles (deg): 90.00 90.00 120.00
Space group P6/mmm (No. 191)
Symmetry-distinct sites (fractional):
Nd: 0.3333 0.6667 0.0000 [2 per cell]
Dy: 0.0000 0.0000 0.0000 [1 per cell]
Al: 0.0000 0.3312 0.5000 [6 per cell]

Results
Final energy   -0.3338 Ry per atom
Excess energy over the best structure of this formula in the dataset   0.00 eV/f.u.
ΔE_f   -4.3 eV per formula unit

---

Below is an optimized crystal structure of PmPr3H, with properties calculated at the PBE level.

a b c (Å): 5.2155 5.2155 5.2155
angles (deg): 90.00 90.00 90.00
Space group Pm-3m (No. 221)
Symmetry-distinct sites (fractional):
Pm: 0.0000 0.0000 0.0000 [1 per cell]
Pr: 0.0000 0.5000 0.5000 [3 per cell]
H: 0.5000 0.5000 0.5000 [1 per cell]

Results
Final energy   -0.3425 Ry per atom

---

Below is an optimized crystal structure of PuNi4, with properties calculated at the PBE level.

a b c (Å): 7.6459 7.6459 2.6669
angles (deg): 90.00 90.00 90.00
Space group I4/mmm (No. 139)
Symmetry-distinct sites (fractional):
Pu: 0.0000 0.0000 0.0000 [2 per cell]
Ni: 0.0000 0.3151 0.0000 [8 per cell]

Results
Final energy   -0.5110 Ry per atom
ΔE_f   2.7 eV per formula unit

---

Below is an optimized crystal structure of BeOsN2O, with properties calculated at the PBE level.

a b c (Å): 3.8362 3.8362 3.8617
angles (deg): 90.00 90.00 90.00
Space group P4/mmm (No. 123)
Symmetry-distinct sites (fractional):
Be: 0.0000 0.0000 0.0000 [1 per cell]
Os: 0.5000 0.5000 0.5000 [1 per cell]
N: 0.0000 0.5000 0.5000 [2 per cell]
O: 0.5000 0.5000 0.0000 [1 per cell]

Results
Final energy   -0.4784 Ry per atom
Raw formation energy   0.80 eV per atom

---

Below is an optimized crystal structure of BaSrPb3, with properties calculated at the PBE level.

a b c (Å): 6.0887 6.0887 6.0887
angles (deg): 90.00 90.00 90.00
Space group Pm-3m (No. 221)
Symmetry-distinct sites (fractional):
Ba: 0.0000 0.0000 0.0000 [1 per cell]
Sr: 0.5000 0.5000 0.5000 [1 per cell]
Pb: 0.0000 0.5000 0.5000 [3 per cell]

Results
Final energy   -0.2065 Ry per atom
Excess energy over the best structure of this formula in the dataset   2.84 eV/f.u.
ΔE_f   0.7 eV per formula unit

---

Below is an optimized crystal structure of BeOsW2, with properties calculated at the PBE level.

a b c (Å): 3.1660 4.2310 4.2456
angles (deg): 90.00 90.00 90.00
Space group Pmmm (No. 47)
Symmetry-distinct sites (fractional):
Be: 0.0000 0.0000 0.0000 [1 per cell]
Os: 0.5000 0.5000 0.0000 [1 per cell]
W: 0.0000 0.5000 0.5000 [1 per cell]
W: 0.5000 0.0000 0.5000 [1 per cell]

Results
Final energy   -0.7357 Ry per atom
ΔE_f   0.8 eV per formula unit

---

Below is an optimized crystal structure of GeTe2PtI, with properties calculated at the PBE level.

a b c (Å): 5.3782 5.3782 5.4114
angles (deg): 90.00 90.00 90.00
Space group P4/mmm (No. 123)
Symmetry-distinct sites (fractional):
Ge: 0.0000 0.0000 0.0000 [1 per cell]
Te: 0.0000 0.5000 0.0000 [2 per cell]
Pt: 0.5000 0.5000 0.5000 [1 per cell]
I: 0.0000 0.0000 0.5000 [1 per cell]

Results
Final energy   -0.1995 Ry per atom
Raw formation energy   0.98 eV per atom
Excess energy over the best structure of this formula in the dataset   2.84 eV/f.u.

---

Below is an optimized crystal structure of Pm3YSc6, with properties calculated at the PBE level.

a b c (Å): 11.7952 15.6949 6.1597
angles (deg): 90.00 90.00 90.00
Space group Cmc2_1 (No. 36)
Symmetry-distinct sites (fractional):
Pm: 0.0000 0.0933 0.0000 [4 per cell]
Pm: 0.2012 0.4222 0.5166 [8 per cell]
Y: 0.0000 0.2969 0.8113 [4 per cell]
Sc: 0.0000 0.2586 0.3508 [4 per cell]
Sc: 0.0000 0.4485 0.1483 [4 per cell]
Sc: 0.1395 0.0983 0.4990 [8 per cell]
Sc: 0.2166 0.2591 0.1378 [8 per cell]

Results
Final energy   -0.4179 Ry per atom
ΔE_f   1.8 eV per formula unit

---

Below is an optimized crystal structure of SrLiH3, with properties calculated at the PBE level.

a b c (Å): 7.9241 11.5022 5.4695
angles (deg): 90.00 90.00 90.00
Space group Cmce (No. 64)
Symmetry-distinct sites (fractional):
Sr: 0.0000 0.1061 0.2501 [8 per cell]
Li: 0.2500 0.1265 0.7500 [8 per cell]
H: 0.0000 0.1153 0.7488 [8 per cell]
H: 0.2492 0.0000 0.0000 [8 per cell]
H: 0.2500 0.2159 0.2500 [8 per cell]

Results
Final energy   -0.2335 Ry per atom
Excess energy over the best structure of this formula in the dataset   0.41 eV/f.u.

---

- Number 5 is which compound?
  PmPr3H